DFT (PBE) results for La5Si after structural relaxation.

Its formation energy from raw total energies is -0.61 eV/f.u. Its electronic total energy is -30.67 eV/cell. Its symmetry is No. 189. For the density of states at the Fermi level, the calculation gives 8.66 states/eV per cell. As for the energy above the most stable polymorph in this dataset: 70 meV/atom.

Geometry as POSCAR:
```
La5Si
1.0
-1.109 3.729 4.786
-4.494 -3.600 -2.210
1.545 -4.119 3.568
La Si
5 1
Cartesian
-0.782 2.631 3.377
-1.650 0.038 0.758
-3.171 -2.540 -1.559
-1.465 -0.773 4.238
-2.593 -3.216 1.906
0.773 -2.059 1.784
```